# As5Pb

A relaxed As5Pb crystal (GGA-PBEsol, Alexandria).

Calculated values
formation energy from the elements: 319.9 meV/atom
total energy: -4.6018 eV/atom
density of states at the Fermi level: 2.65 states/eV per cell

Geometry as POSCAR:
```
As5Pb
1.0
5.6374 0.0000 0.0000
-2.8187 4.8821 0.0000
0.0000 0.0000 4.5230
As Pb
5 1
Cartesian
-1.6654 2.8845 0.0000
0.0000 3.2548 2.2615
1.1533 1.9976 0.0000
3.3307 0.0000 0.0000
2.8187 1.6274 2.2615
0.0000 0.0000 2.2615
```

---

# K2LiY

A relaxed K2LiY crystal (GGA-PBEsol, Alexandria).

Calculated values
formation energy from the elements: 438.5 meV/atom
total energy: -2.3254 eV/atom
density of states at the Fermi level: 4.42 states/eV per cell

Geometry as POSCAR:
```
K2LiY
1.0
-1.8164 3.0831 6.9786
1.8164 -3.0831 6.9786
1.8164 3.0831 -6.9786
K Li Y
2 1 1
Cartesian
0.0000 0.0000 2.8883
0.0000 0.0000 11.0689
1.8164 0.0000 0.0000
0.0000 3.0831 0.0000
```

---

# NaCd2Pt2

A relaxed NaCd2Pt2 crystal (GGA-PBEsol, Alexandria).

Calculated values
formation energy from the elements: -286.9 meV/atom
total energy: -3.8311 eV/atom
density of states at the Fermi level: 2.06 states/eV per cell

Geometry as POSCAR:
```
NaCd2Pt2
1.0
7.9901 0.0000 0.0000
0.0000 7.9901 0.0000
0.0000 0.0000 2.9163
Na Cd Pt
2 4 4
Cartesian
0.0000 0.0000 0.0000
3.9951 3.9951 0.0000
1.3550 2.6401 1.4582
2.6401 6.6351 1.4582
5.3500 1.3550 1.4582
6.6351 5.3500 1.4582
1.0120 5.0071 0.0000
2.9830 1.0120 0.0000
5.0071 6.9781 0.0000
6.9781 2.9830 0.0000
```

---

# YSc2

A relaxed YSc2 crystal (GGA-PBEsol, Alexandria).

Calculated values
formation energy from the elements: 84.5 meV/atom
total energy: -6.5930 eV/atom
density of states at the Fermi level: 11.98 states/eV per cell
excess energy over the best structure of this formula in the dataset: 0.062 eV/atom

Geometry as POSCAR:
```
YSc2
1.0
5.2068 0.0000 0.0000
-2.6034 4.5092 0.0000
0.0000 0.0000 6.5453
Y Sc
2 4
Cartesian
0.0000 3.0061 1.6363
2.6034 1.5031 4.9090
0.0000 0.0000 0.0000
0.0000 0.0000 3.2727
0.0000 3.0061 4.9090
2.6034 1.5031 1.6363
```

---

# Re2Mo3C

A relaxed Re2Mo3C crystal (GGA-PBEsol, Alexandria).

Calculated values
formation energy from the elements: -29.2 meV/atom
total energy: -11.9644 eV/atom
density of states at the Fermi level: 20.53 states/eV per cell

Geometry as POSCAR:
```
Re2Mo3C
1.0
6.8682 0.0000 0.0000
0.0000 6.8682 0.0000
0.0000 0.0000 6.8682
Re Mo C
8 12 4
Cartesian
0.4640 0.4640 0.4640
1.2530 5.6152 2.1811
2.1811 1.2530 5.6152
2.9701 6.4042 3.8981
3.8981 2.9701 6.4042
4.6872 4.6872 4.6872
5.6152 2.1811 1.2530
6.4042 3.8981 2.9701
0.3066 6.0097 4.8446
0.8585 1.4104 3.1275
1.4104 3.1275 0.8585
2.0237 3.7407 4.2927
2.5756 5.4578 6.5616
3.1275 0.8585 1.4104
3.7407 4.2927 2.0237
4.2927 2.0237 3.7407
4.8446 0.3066 6.0097
5.4578 6.5616 2.5756
6.0097 4.8446 0.3066
6.5616 2.5756 5.4578
0.8585 4.2927 6.0097
2.5756 2.5756 2.5756
4.2927 6.0097 0.8585
6.0097 0.8585 4.2927
```

---

# Ba2SrY2Cu2PtO10

A relaxed Ba2SrY2Cu2PtO10 crystal (GGA-PBEsol, Alexandria).

Calculated values
raw formation energy: -2.208 eV per atom
total energy: -7.0917 eV/atom

Geometry as POSCAR:
```
Ba2SrY2Cu2PtO10
1.0
6.1917 -2.8493 0.0000
6.1917 2.8493 0.0000
-1.9728 0.0000 7.0337
Ba Sr Y Cu Pt O
2 1 2 2 1 10
Cartesian
1.8057 0.0000 0.2209
8.6047 0.0000 6.8128
-0.9864 0.0000 3.5169
2.6091 0.0000 4.3954
7.8013 0.0000 2.6383
4.5445 0.0000 2.1674
5.8659 0.0000 4.8663
6.1917 0.0000 0.0000
3.2631 1.3503 2.6698
4.4160 1.2851 5.4735
5.9945 1.2851 1.5602
2.2478 0.0000 6.6859
7.1474 1.3503 4.3639
3.2631 -1.3503 2.6698
8.1627 0.0000 0.3478
4.4160 -1.2851 5.4735
5.9945 -1.2851 1.5602
7.1474 -1.3503 4.3639
```

---

# Be2IrRu

A relaxed Be2IrRu crystal (GGA-PBEsol, Alexandria).

Calculated values
formation energy from the elements: -263.7 meV/atom
total energy: -7.2627 eV/atom
density of states at the Fermi level: 3.12 states/eV per cell

Geometry as POSCAR:
```
Be2IrRu
1.0
4.2420 -1.3519 0.0000
4.2420 1.3519 0.0000
-1.2454 0.0000 3.8036
Be Ir Ru
2 1 1
Cartesian
0.0000 0.0000 0.0000
5.8269 0.0000 1.2281
1.0603 0.0000 3.2175
3.5422 0.0000 1.8294
```

---

# Cu3BPb

A relaxed Cu3BPb crystal (GGA-PBEsol, Alexandria).

Calculated values
formation energy from the elements: 285.9 meV/atom
total energy: -4.5176 eV/atom
density of states at the Fermi level: 1.47 states/eV per cell

Geometry as POSCAR:
```
Cu3BPb
1.0
4.1096 0.0000 0.0000
0.0000 4.1096 0.0000
0.0000 0.0000 4.1096
Cu B Pb
3 1 1
Cartesian
0.0000 0.0000 2.0548
0.0000 2.0548 0.0000
2.0548 0.0000 0.0000
0.0000 0.0000 0.0000
2.0548 2.0548 2.0548
```